[1]
Density functional theory data (GGA-PBE) for an optimized crystal structure of TmCuTcGe2.

## Properties
DFT formation energy in kcal/mol of atoms: -8.51
SG: I-4m2
Crystal system: tetragonal

Lattice parameters (Å, degrees): 4.0334 4.0334 6.0717 109.40 109.40 90.00
Fractional coordinates of all 5 atoms:
Tm 0.0000 0.0000 0.0000
Cu 0.2500 0.7500 0.5000
Tc 0.7500 0.2500 0.5000
Ge 0.6182 0.6182 0.2364
Ge 0.3818 0.3818 0.7636

=====

[2]
Density functional theory data (GGA-PBE) for an optimized crystal structure of VCuTcGe.

## Properties
DFT formation energy in kcal/mol of atoms: -0.10
SG: F-43m
Crystal system: cubic

Lattice parameters (Å, degrees): 4.2594 4.2594 4.2594 60.00 60.00 60.00
Fractional coordinates of all 4 atoms:
Ge 0.2500 0.2500 0.2500
Tc 0.0000 0.0000 0.0000
Cu 0.5000 0.5000 0.5000
V 0.7500 0.7500 0.7500